DFT (PBE+U) results for a relaxed structure of Pm2CuNiO6.

Cell lengths 5.347, 5.794, 9.240 Å; angles 90.00, 125.12, 90.00 degrees
Fractional positions:
Pm  0.231  0.076  0.250
Pm  0.231  0.424  0.750
Pm  0.769  0.576  0.250
Pm  0.769  0.924  0.750
Cu  0.500  0.000  0.000
Cu  0.500  0.500  0.500
Ni  0.000  0.000  0.500
Ni  0.000  0.500  0.000
O  0.162  0.189  0.956
O  0.162  0.311  0.456
O  0.247  0.691  0.952
O  0.247  0.809  0.452
O  0.349  0.023  0.757
O  0.349  0.477  0.257
O  0.651  0.523  0.743
O  0.651  0.977  0.243
O  0.753  0.191  0.548
O  0.753  0.309  0.048
O  0.838  0.689  0.544
O  0.838  0.811  0.044

The magnetic moment comes out at 1.90 Bohr magnetons per cell. Its final energy is -132.43 eV for the cell shown.